Material: Ac3DyHg6
Method: DFT, PBE
State: optimized geometry

a b c (Å): 8.1517 8.1517 8.1517
angles (deg): 60.00 60.00 60.00
Sites, in units of the cell vectors:
Ac  0.0000  0.0000  0.0000
Ac  0.2500  0.2500  0.2500
Ac  0.7500  0.7500  0.7500
Dy  0.5000  0.5000  0.5000
Hg  0.2587  0.2587  0.7413
Hg  0.2587  0.7413  0.2587
Hg  0.2587  0.7413  0.7413
Hg  0.7413  0.2587  0.2587
Hg  0.7413  0.2587  0.7413
Hg  0.7413  0.7413  0.2587

Magnetization = 0.0 Bohr magnetons per cell
Total DFT energy (no corrections) = -1.747 eV per atom
SG = No. 225